Entry 1:
Entry from the Alexandria database: a relaxed CsCa3 crystal (PBE-GGA).

Lattice parameters (Å, degrees): 3.967 6.809 7.597 90.00 90.00 90.00
Element x y z (fractional)
Cs 0.000 0.000 0.000
Ca 0.000 0.500 0.671
Ca 0.500 0.000 0.501
Ca 0.500 0.500 0.230

Electronic total energy = -1.50 eV/atom
E_form = 0.212 eV per atom
Symmetry = Pmm2

---

Entry 2:
Entry from the Alexandria database: a relaxed Cs3Ca crystal (PBE-GGA).

Lattice parameters (Å, degrees): 10.032 10.032 8.081 90.00 90.00 120.00
Element x y z (fractional)
Cs 0.174 0.348 0.250
Cs 0.174 0.826 0.250
Cs 0.348 0.174 0.750
Cs 0.652 0.826 0.250
Cs 0.826 0.174 0.750
Cs 0.826 0.652 0.750
Ca 0.333 0.667 0.750
Ca 0.667 0.333 0.250

Electronic total energy = -0.95 eV/atom
E_form = 0.186 eV per atom
Symmetry = P6_3/mmc

---

Entry 3:
Entry from the Alexandria database: a relaxed Cs3Ca crystal (PBE-GGA).

Lattice parameters (Å, degrees): 9.555 9.555 9.555 149.53 62.13 127.27
Element x y z (fractional)
Cs 0.000 0.000 0.000
Cs 0.383 0.616 0.768
Cs 0.848 0.616 0.232
Ca 0.484 0.984 0.500

Electronic total energy = -0.95 eV/atom
E_form = 0.190 eV per atom
Symmetry = Imm2

---

Entry 4:
Entry from the Alexandria database: a relaxed CsCa3 crystal (PBE-GGA).

Lattice parameters (Å, degrees): 6.609 6.609 6.609 60.00 60.00 60.00
Element x y z (fractional)
Cs 0.000 0.000 0.000
Ca 0.250 0.250 0.250
Ca 0.500 0.500 0.500
Ca 0.750 0.750 0.750

Electronic total energy = -1.47 eV/atom
E_form = 0.245 eV per atom
Symmetry = Fm-3m

---

Which of these has the lowest electronic total energy?
number 1

---

Which formula does entry 2 have?
Cs3Ca